3
Lattice="-1.091 -3.946 -2.534 2.849 -1.401 -3.621 2.689 -3.969 0.449" Properties=species:S:1:pos:R:3 comment="YTlSi (PBE, optimized geometry)" space_group="No. 216" mass_density_g_cm3=6.76 formation_energy_uncorrected_ev_per_atom=-0.04 polymorph_energy_mev_per_atom=280.4 e_tot_ha_per_atom=-0.17607 pbc="T T T"
Si 3.335 -6.987 -4.279
Tl 0.000 0.000 0.000
Y 2.223 -4.658 -2.853

=====

4
Lattice="5.240 0.000 0.000 2.620 4.538 0.000 2.620 1.513 4.278" Properties=species:S:1:pos:R:3 comment="Y2TlSi (PBE, optimized geometry)" space_group="No. 216" mass_density_g_cm3=6.70 formation_energy_uncorrected_ev_per_atom=0.22 e_tot_ha_per_atom=-0.18234 pbc="T T T"
Si 5.240 3.025 2.139
Tl 7.860 4.538 3.209
Y 0.000 0.000 0.000
Y 2.620 1.513 1.070

=====

4
Lattice="5.472 -0.005 -0.033 4.151 3.565 -0.033 1.899 0.702 4.949" Properties=species:S:1:pos:R:3 comment="YTlSi2 (PBE, optimized geometry)" space_group="No. 12" mass_density_g_cm3=5.99 formation_energy_uncorrected_ev_per_atom=-0.12 polymorph_energy_mev_per_atom=23.1 e_tot_ha_per_atom=-0.18527 pbc="T T T"
Si 1.790 0.662 4.330
Si 5.869 2.171 3.060
Tl 2.880 1.065 1.221
Y 8.641 3.196 3.662

=====

10
Lattice="7.490 0.000 0.000 0.000 7.490 0.000 0.000 0.000 4.646" Properties=species:S:1:pos:R:3 comment="Y2Tl2Si (PBE, optimized geometry)" space_group="No. 127" mass_density_g_cm3=7.83 formation_energy_uncorrected_ev_per_atom=-0.17 polymorph_energy_mev_per_atom=29.3 e_tot_ha_per_atom=-0.17588 pbc="T T T"
Y 1.264 5.009 2.323
Y 5.009 6.226 2.323
Y 6.226 2.481 2.323
Y 2.481 1.264 2.323
Tl 2.694 6.439 0.000
Tl 6.439 4.796 0.000
Tl 4.796 1.051 0.000
Tl 1.051 2.694 0.000
Si 0.000 0.000 0.000
Si 3.745 3.745 0.000

=====

4
Lattice="-0.175 1.350 -3.845 -3.002 -1.232 -2.471 -5.464 6.110 0.238" Properties=species:S:1:pos:R:3 comment="Y2TlSi (PBE, optimized geometry)" space_group="No. 12" mass_density_g_cm3=6.03 formation_energy_uncorrected_ev_per_atom=-0.43 e_tot_ha_per_atom=-0.20624 pbc="T T T"
Si -6.481 4.671 -4.559
Tl -2.160 1.557 -1.520
Y -5.248 5.812 0.124
Y -4.537 3.412 -2.925

=====

4
Lattice="-1.885 -7.441 2.799 0.303 -8.163 -0.170 1.855 -7.310 3.145" Properties=species:S:1:pos:R:3 comment="YTlSi2 (PBE, optimized geometry)" space_group="No. 160" mass_density_g_cm3=6.02 formation_energy_uncorrected_ev_per_atom=-0.06 polymorph_energy_mev_per_atom=86.8 e_tot_ha_per_atom=-0.18293 pbc="T T T"
Si 0.268 -22.546 5.681
Si 0.076 -6.358 1.602
Tl 0.138 -11.591 2.921
Y 0.200 -16.790 4.231

=====

4
Lattice="3.802 0.000 0.000 0.000 4.472 -0.005 0.000 1.274 5.394" Properties=species:S:1:pos:R:3 comment="YTlSi2 (PBE, optimized geometry)" space_group="No. 6" mass_density_g_cm3=6.33 formation_energy_uncorrected_ev_per_atom=-0.14 polymorph_energy_mev_per_atom=5.7 e_tot_ha_per_atom=-0.18591 pbc="T T T"
Si 0.000 2.117 5.284
Si 1.901 0.602 1.416
Tl 0.000 2.761 2.284
Y 1.901 4.413 4.495

=====

8
Lattice="7.654 0.000 0.000 0.000 7.654 0.000 3.827 3.827 3.149" Properties=species:S:1:pos:R:3 comment="YTlSi2 (PBE, optimized geometry)" space_group="No. 122" mass_density_g_cm3=6.29 formation_energy_uncorrected_ev_per_atom=0.14 polymorph_energy_mev_per_atom=284.8 e_tot_ha_per_atom=-0.17566 pbc="T T T"
Y 3.827 3.827 0.000
Y 3.827 7.654 1.574
Tl 0.000 0.000 0.000
Tl 7.654 3.827 1.574
Si 5.923 1.913 0.787
Si 1.731 5.740 0.787
Si 5.740 5.557 2.362
Si 9.567 9.750 2.362

=====

4
Lattice="3.283 0.000 0.000 0.000 3.283 0.000 0.000 0.000 8.598" Properties=species:S:1:pos:R:3 comment="YTlSi2 (PBE, optimized geometry)" space_group="No. 123" mass_density_g_cm3=6.26 formation_energy_uncorrected_ev_per_atom=0.12 polymorph_energy_mev_per_atom=260.8 e_tot_ha_per_atom=-0.17654 pbc="T T T"
Si 0.000 0.000 8.403
Si 0.000 0.000 4.495
Tl 1.641 1.641 2.150
Y 1.641 1.641 6.449

=====

5
Lattice="5.822 0.000 0.000 0.000 5.822 0.000 0.000 0.000 5.822" Properties=species:S:1:pos:R:3 comment="YTl3Si (PBE, optimized geometry)" space_group="No. 221" mass_density_g_cm3=6.15 formation_energy_uncorrected_ev_per_atom=0.92 polymorph_energy_mev_per_atom=530.8 e_tot_ha_per_atom=-0.10557 pbc="T T T"
Y 0.000 0.000 0.000
Tl 0.000 2.911 0.000
Tl 0.000 0.000 2.911
Tl 2.911 0.000 0.000
Si 2.911 2.911 2.911

=====

4
Lattice="-2.833 4.070 0.822 -4.929 -0.498 0.845 -1.865 0.880 4.583" Properties=species:S:1:pos:R:3 comment="YTlSi2 (PBE, optimized geometry)" space_group="No. 216" mass_density_g_cm3=6.46 formation_energy_uncorrected_ev_per_atom=0.25 polymorph_energy_mev_per_atom=396.5 e_tot_ha_per_atom=-0.17155 pbc="T T T"
Si 0.000 0.000 0.000
Si -2.407 1.113 1.563
Tl -4.814 2.226 3.125
Y -7.220 3.339 4.688

=====

6
Lattice="0.000 3.825 3.825 3.825 0.000 3.825 3.825 3.825 0.000" Properties=species:S:1:pos:R:3 comment="YTlSi4 (PBE, optimized geometry)" space_group="No. 216" mass_density_g_cm3=6.02 formation_energy_uncorrected_ev_per_atom=0.03 e_tot_ha_per_atom=-0.18571 pbc="T T T"
Y 0.000 0.000 0.000
Tl 5.737 5.737 5.737
Si 2.903 4.747 4.747
Si 4.747 4.747 2.903
Si 4.747 2.903 4.747
Si 2.903 2.903 2.903